Entry 1:
Compound: CdTe2Mo
Source: Alexandria via LeMat-Bulk
Functional: PBEsol
Structure: relaxed

Properties
**Formation energy (no corrections)**: 0.135 eV per atom

abc: 3.3386 3.4197 9.0083
angles: 100.94 100.68 90.00
With the nearest neighbours (Å) after each atom.
Positions (direct):
Cd 0.5570 0.5570 0.1141  4 Cd 3.34-3.42, 6 Te 3.34-3.38
Te 0.9195 0.9195 0.8390  2 Mo 2.65
Mo 0.3012 0.8012 0.6023  6 Te 2.65-2.75
Te 0.7223 0.2223 0.4446  4 Mo 2.75

---

Entry 2:
Compound: Sc5Te
Source: Alexandria via LeMat-Bulk
Functional: PBEsol
Structure: relaxed

Properties
**Formation energy (no corrections)**: -0.365 eV per atom

abc: 3.7283 3.7283 9.8868
angles: 90.00 90.00 90.00
With the nearest neighbours (Å) after each atom.
Positions (direct):
Sc 0.0000 0.0000 0.1568  4 Te 3.06, 6 Sc 3.10-3.39
Sc 0.0000 0.0000 0.5000  10 Sc 3.11-3.39
Sc 0.5000 0.5000 0.3326  9 Sc 3.11-3.31, 1 Te 3.29
Sc 0.5000 0.5000 0.6674  9 Sc 3.11-3.31, 1 Te 3.29
Te 0.5000 0.5000 0.0000  10 Sc 3.06-3.29
Sc 0.0000 0.0000 0.8432  4 Te 3.06, 6 Sc 3.10-3.39

---

Entry 3:
Compound: BaSc2Ni
Source: Alexandria via LeMat-Bulk
Functional: PBEsol
Structure: relaxed

Properties
**Energy relative to the elements**: 0.374 eV per atom

abc: 4.9498 4.9498 4.9498
angles: 60.00 60.00 60.00
With the nearest neighbours (Å) after each atom.
Positions (direct):
Ba 0.0000 0.0000 0.0000  8 Sc 3.03
Sc 0.2500 0.2500 0.2500  4 Ni 3.03, 4 Ba 3.03
Sc 0.7500 0.7500 0.7500  4 Ba 3.03, 4 Ni 3.03
Ni 0.5000 0.5000 0.5000  8 Sc 3.03

---

Entry 4:
Compound: ScTa2Te
Source: Alexandria via LeMat-Bulk
Functional: PBEsol
Structure: relaxed

Properties
**Formation energy (no corrections)**: 0.255 eV per atom

abc: 3.2080 3.2080 9.2584
angles: 80.02 80.02 60.00
With the nearest neighbours (Å) after each atom.
Positions (direct):
Ta 0.7553 0.7553 0.7341  3 Te 2.82, 3 Sc 3.04
Sc 0.0000 0.0000 0.0000  6 Ta 3.04, 6 Sc 3.21
Te 0.5000 0.5000 0.5000  6 Ta 2.82
Ta 0.2447 0.2447 0.2659  3 Te 2.82, 3 Sc 3.04

---

> Number 2 is which compound?

Sc5Te